No. 1
This record from the Alexandria database describes a relaxed Sm4Pb crystal. The functional is GGA-PBE.

```
Sm4Pb
1.0
-3.7943 -1.9954 -4.0935
4.4195 -2.8989 -2.6833
-1.0987 -4.7697 3.3434
Sm Pb
4 1
Cartesian
0.0000 0.0000 0.0000 Sm
0.3126 -2.4472 -3.3884 Sm
1.6604 -3.8343 0.3300 Sm
-2.4465 -3.3826 -0.3751 Sm
-0.2368 -4.8320 -1.7167 Pb
```

V   41.65 A^3/atom
Total DFT energy (no corrections)   -20.78 eV for the cell shown
Total magnetization   1.7 μB/cell



No. 2
This record from the Alexandria database describes a relaxed SmSn2Pb crystal. The functional is GGA-PBE.

```
SmSn2Pb
1.0
4.6959 0.0000 0.0000
0.0000 4.8668 0.0000
0.0000 0.0000 4.8668
Sm Pb Sn
1 1 2
Cartesian
2.3480 2.4334 2.4334 Sm
2.3480 0.0000 0.0000 Pb
0.0000 2.4334 0.0000 Sn
0.0000 0.0000 2.4334 Sn
```

V   27.81 A^3/atom
Total DFT energy (no corrections)   -18.13 eV for the cell shown
Total magnetization   0.0 μB/cell